Entry 1:
## CaSeBr4 (PBE-GGA)

Data for an optimized crystal structure of CaSeBr4.

Cell lengths 6.256, 6.256, 6.256 Å; angles 60.00, 60.00, 60.00 degrees
Fractional positions:
Ca 0.000 0.000 0.000
Se 0.750 0.750 0.750
Br 0.375 0.375 0.375
Br 0.375 0.375 0.875
Br 0.375 0.875 0.375
Br 0.875 0.375 0.375

Calculated values
Space group ... No. 216


Entry 2:
## Ca4Se3Br (PBE-GGA)

Data for an optimized crystal structure of Ca4Se3Br.

Cell lengths 13.935, 13.935, 13.935 Å; angles 17.51, 17.51, 17.51 degrees
Fractional positions:
Ca 0.120 0.120 0.120
Ca 0.374 0.374 0.374
Ca 0.626 0.626 0.626
Ca 0.880 0.880 0.880
Se 0.000 0.000 0.000
Se 0.250 0.250 0.250
Se 0.750 0.750 0.750
Br 0.500 0.500 0.500

Calculated values
Space group ... No. 166


Entry 3:
## CaSe4Br (PBE-GGA)

Data for an optimized crystal structure of CaSe4Br.

Cell lengths 5.838, 5.838, 5.838 Å; angles 60.00, 60.00, 60.00 degrees
Fractional positions:
Ca 0.000 0.000 0.000
Se 0.125 0.625 0.625
Se 0.625 0.125 0.625
Se 0.625 0.625 0.125
Se 0.625 0.625 0.625
Br 0.250 0.250 0.250

Calculated values
Space group ... No. 216


Entry 4:
## Ca3SeBr (PBE-GGA)

Data for an optimized crystal structure of Ca3SeBr.

Cell lengths 5.667, 5.667, 5.667 Å; angles 90.00, 90.00, 90.00 degrees
Fractional positions:
Ca 0.000 0.000 0.500
Ca 0.000 0.500 0.000
Ca 0.500 0.000 0.000
Se 0.000 0.000 0.000
Br 0.500 0.500 0.500

Calculated values
Space group ... No. 221


Entry 5:
## Ca5Se4Br (PBE-GGA)

Data for an optimized crystal structure of Ca5Se4Br.

Cell lengths 11.170, 11.170, 11.170 Å; angles 158.20, 149.16, 38.08 degrees
Fractional positions:
Ca 0.000 0.000 0.000
Ca 0.199 0.199 0.000
Ca 0.390 0.390 0.000
Ca 0.610 0.610 0.000
Ca 0.801 0.801 0.000
Se 0.098 0.598 0.500
Se 0.298 0.798 0.500
Se 0.702 0.202 0.500
Se 0.902 0.402 0.500
Br 0.500 0.000 0.500

Calculated values
Space group ... No. 71


Entry 6:
## CaSe6Br12 (PBE-GGA)

Data for an optimized crystal structure of CaSe6Br12.

Cell lengths 9.682, 9.682, 9.682 Å; angles 66.42, 66.42, 66.42 degrees
Fractional positions:
Ca 0.000 0.000 0.000
Se 0.112 0.247 0.500
Se 0.247 0.500 0.112
Se 0.500 0.112 0.247
Se 0.500 0.888 0.753
Se 0.753 0.500 0.888
Se 0.888 0.753 0.500
Br 0.025 0.323 0.902
Br 0.098 0.975 0.677
Br 0.149 0.587 0.472
Br 0.323 0.902 0.025
Br 0.413 0.528 0.851
Br 0.472 0.149 0.587
Br 0.528 0.851 0.413
Br 0.587 0.472 0.149
Br 0.677 0.098 0.975
Br 0.851 0.413 0.528
Br 0.902 0.025 0.323
Br 0.975 0.677 0.098

Calculated values
Space group ... No. 148


Entry 7:
## CaSeBr (PBE-GGA)

Data for an optimized crystal structure of CaSeBr.

Cell lengths 7.088, 7.088, 7.088 Å; angles 90.00, 90.00, 90.00 degrees
Fractional positions:
Ca 0.000 0.000 0.000
Ca 0.000 0.500 0.500
Ca 0.500 0.000 0.500
Ca 0.500 0.500 0.000
Se 0.250 0.250 0.750
Se 0.250 0.750 0.250
Se 0.750 0.250 0.250
Se 0.750 0.750 0.750
Br 0.250 0.250 0.250
Br 0.250 0.750 0.750
Br 0.750 0.250 0.750
Br 0.750 0.750 0.250

Calculated values
Space group ... No. 216


Entry 8:
## CaSeBr (PBE-GGA)

Data for an optimized crystal structure of CaSeBr.

Cell lengths 8.420, 8.420, 7.605 Å; angles 90.00, 90.00, 142.11 degrees
Fractional positions:
Ca 0.124 0.876 0.957
Ca 0.376 0.624 0.457
Ca 0.624 0.376 0.543
Ca 0.876 0.124 0.043
Se 0.229 0.271 0.750
Se 0.271 0.229 0.250
Se 0.729 0.771 0.750
Se 0.771 0.729 0.250
Br 0.195 0.805 0.591
Br 0.305 0.695 0.091
Br 0.695 0.305 0.909
Br 0.805 0.195 0.409

Calculated values
Space group ... No. 64


Entry 9:
## Ca4SeBr6 (PBE-GGA)

Data for an optimized crystal structure of Ca4SeBr6.

Cell lengths 9.878, 9.878, 7.094 Å; angles 90.00, 90.00, 90.00 degrees
Fractional positions:
Ca 0.006 0.250 0.067
Ca 0.250 0.006 0.567
Ca 0.250 0.494 0.567
Ca 0.494 0.250 0.067
Ca 0.506 0.750 0.933
Ca 0.750 0.506 0.433
Ca 0.750 0.994 0.433
Ca 0.994 0.750 0.933
Se 0.250 0.750 0.750
Se 0.750 0.250 0.250
Br 0.042 0.542 0.250
Br 0.042 0.958 0.250
Br 0.250 0.250 0.335
Br 0.250 0.250 0.835
Br 0.458 0.542 0.250
Br 0.458 0.958 0.250
Br 0.542 0.042 0.750
Br 0.542 0.458 0.750
Br 0.750 0.750 0.165
Br 0.750 0.750 0.665
Br 0.958 0.042 0.750
Br 0.958 0.458 0.750

Calculated values
Space group ... No. 137


Entry 10:
## CaSeBr (PBE-GGA)

Data for an optimized crystal structure of CaSeBr.

Cell lengths 4.497, 4.497, 5.970 Å; angles 90.00, 90.00, 120.00 degrees
Fractional positions:
Ca 0.000 0.000 0.000
Se 0.667 0.333 0.219
Br 0.333 0.667 0.745

Calculated values
Space group ... No. 156


Entry 11:
## Ca2SeBr2 (PBE-GGA)

Data for an optimized crystal structure of Ca2SeBr2.

Cell lengths 7.366, 4.253, 10.421 Å; angles 90.00, 90.53, 90.00 degrees
Fractional positions:
Ca 0.169 0.000 0.165
Ca 0.331 0.500 0.835
Ca 0.669 0.500 0.165
Ca 0.831 0.000 0.835
Se 0.000 0.500 0.000
Se 0.500 0.000 0.000
Br 0.162 0.000 0.684
Br 0.338 0.500 0.316
Br 0.662 0.500 0.684
Br 0.838 0.000 0.316

Calculated values
Space group ... No. 12


Entry 12:
## CaSeBr (PBE-GGA)

Data for an optimized crystal structure of CaSeBr.

Cell lengths 7.213, 7.213, 7.213 Å; angles 90.00, 90.00, 90.00 degrees
Fractional positions:
Ca 0.000 0.000 0.000
Ca 0.000 0.500 0.500
Ca 0.500 0.000 0.500
Ca 0.500 0.500 0.000
Se 0.250 0.250 0.250
Se 0.250 0.750 0.750
Se 0.750 0.250 0.750
Se 0.750 0.750 0.250
Br 0.000 0.000 0.500
Br 0.000 0.500 0.000
Br 0.500 0.000 0.000
Br 0.500 0.500 0.500

Calculated values
Space group ... No. 216


Entry 13:
## CaSeBr (PBE-GGA)

Data for an optimized crystal structure of CaSeBr.

Cell lengths 4.201, 5.839, 7.865 Å; angles 111.74, 105.23, 90.34 degrees
Fractional positions:
Ca 0.140 0.138 0.277
Ca 0.860 0.862 0.723
Se 0.454 0.205 0.998
Se 0.546 0.795 0.002
Br 0.212 0.712 0.425
Br 0.788 0.288 0.575

Calculated values
Space group ... No. 2


The records above yield formation energy without anion corrections values of -0.023, -1.841, -0.290, -0.784, -1.890, -0.164, -1.222, -1.612, -1.962, -1.216, -2.037, -0.865, -1.638 eV per atom, respectively.
The records above yield E values of -2.053, -4.357, -3.225, -3.017, -4.451, -2.426, -3.608, -3.998, -3.919, -3.602, -4.203, -3.251, -4.025 eV per atom, respectively.